[1]
Computed, not measured: a geometry-optimized RbAlCdHg2 structure at the PBE level of DFT.

Values from the calculation:
Space group: P4/mmm (123)
Formation enthalpy at 0 K: -0.04 eV per atom
E: -6.44 eV per cell
DOS(E_F): 0.534 states/eV per atom
V: 32.1 Å³ per atom

Unit cell a=5.427 b=5.427 c=5.454 alpha=90.00 beta=90.00 gamma=90.00
Positions (direct):
Hg (0.000, 0.500, 0.000)
Hg (0.500, 0.000, 0.000)
Cd (0.000, 0.000, 0.500)
Rb (0.500, 0.500, 0.500)
Al (0.000, 0.000, 0.000)

---

[2]
Computed, not measured: a geometry-optimized CrCdH3 structure at the PBE level of DFT.

Values from the calculation:
E above lowest polymorph: 0.0000 eV/atom
Space group: Pm-3m (221)
E: -19.45 eV per cell
DOS(E_F): 0.192 states/eV per atom
V: 9.0 Å³ per atom

Unit cell a=3.559 b=3.559 c=3.559 alpha=90.00 beta=90.00 gamma=90.00
Positions (direct):
Cr (0.000, 0.000, 0.000)
Cd (0.500, 0.500, 0.500)
H (0.500, 0.000, 0.000)
H (0.000, 0.500, 0.000)
H (0.000, 0.000, 0.500)

---

[3]
Computed, not measured: a geometry-optimized Hf4FePb2 structure at the PBE level of DFT.

Values from the calculation:
Space group: P2/m (10)
Formation enthalpy at 0 K: 0.05 eV per atom
E: -55.32 eV per cell
DOS(E_F): 0.668 states/eV per atom
V: 22.7 Å³ per atom

Unit cell a=3.245 b=6.216 c=8.424 alpha=110.95 beta=90.00 gamma=90.00
Positions (direct):
Hf (0.500, 0.703, 0.134)
Hf (0.500, 0.154, 0.867)
Hf (0.000, 0.556, 0.793)
Hf (0.000, 0.301, 0.207)
Pb (0.500, 0.168, 0.491)
Pb (0.500, 0.689, 0.509)
Fe (0.000, 0.929, 0.000)

---

[4]
Computed, not measured: a geometry-optimized ErGa3Pt structure at the PBE level of DFT.

Values from the calculation:
Space group: Pnma (62)
Formation enthalpy at 0 K: -0.72 eV per atom
E: -93.15 eV per cell
DOS(E_F): 0.357 states/eV per atom
V: 18.8 Å³ per atom

Unit cell a=4.192 b=8.221 c=10.912 alpha=90.00 beta=90.00 gamma=90.00
Positions (direct):
Pt (0.250, 0.095, 0.647)
Pt (0.750, 0.905, 0.353)
Pt (0.250, 0.595, 0.853)
Pt (0.750, 0.405, 0.147)
Ga (0.750, 0.102, 0.177)
Ga (0.750, 0.429, 0.909)
Ga (0.250, 0.071, 0.409)
Ga (0.250, 0.898, 0.823)
Ga (0.250, 0.363, 0.292)
Ga (0.250, 0.571, 0.091)
Ga (0.750, 0.637, 0.708)
Ga (0.750, 0.137, 0.792)
Ga (0.250, 0.863, 0.208)
Ga (0.250, 0.398, 0.677)
Ga (0.750, 0.602, 0.323)
Ga (0.750, 0.929, 0.591)
Er (0.250, 0.197, 0.986)
Er (0.750, 0.803, 0.014)
Er (0.250, 0.697, 0.514)
Er (0.750, 0.303, 0.486)

---

[5]
Computed, not measured: a geometry-optimized BaNaCl3 structure at the PBE level of DFT.

Values from the calculation:
E above lowest polymorph: 0.0250 eV/atom
Space group: Ama2 (40)
Formation energy (no corrections): -2170 meV per atom
E: -39.26 eV per cell
DOS(E_F): 0.000 states/eV per atom
V: 33.3 Å³ per atom

Unit cell a=5.216 b=7.080 c=9.682 alpha=111.45 beta=90.00 gamma=90.00
Positions (direct):
Na (0.250, 0.734, 0.161)
Na (0.750, 0.573, 0.839)
Cl (0.250, 0.639, 0.432)
Cl (0.750, 0.954, 0.837)
Cl (0.750, 0.650, 0.147)
Cl (0.250, 0.503, 0.853)
Cl (0.750, 0.207, 0.568)
Cl (0.250, 0.117, 0.163)
Ba (0.250, 0.042, 0.703)
Ba (0.750, 0.340, 0.297)

---

[6]
Computed, not measured: a geometry-optimized Ac2PdO3 structure at the PBE level of DFT.

Values from the calculation:
Space group: Immm (71)
Formation energy (no corrections): -2402 meV per atom
E: -42.69 eV per cell
DOS(E_F): 0.057 states/eV per atom
V: 17.5 Å³ per atom

Unit cell a=3.560 b=4.011 c=7.810 alpha=104.88 beta=103.17 gamma=90.00
Positions (direct):
O (0.000, 0.500, 0.000)
O (0.808, 0.808, 0.615)
O (0.192, 0.192, 0.385)
Ac (0.358, 0.358, 0.715)
Ac (0.642, 0.642, 0.285)
Pd (0.000, 0.000, 0.000)

---

[7]
Computed, not measured: a geometry-optimized Ag2CO3 structure at the PBE level of DFT.

Values from the calculation:
E above lowest polymorph: 0.0284 eV/atom
Space group: P-6 (174)
Formation energy (no corrections): -708 meV per atom
E: -102.14 eV per cell
V: 13.9 Å³ per atom

Unit cell a=9.180 b=9.180 c=3.419 alpha=90.00 beta=90.00 gamma=120.00
Positions (direct):
C (0.667, 0.333, 0.000)
C (0.333, 0.667, 0.500)
C (0.000, 0.000, 0.500)
O (0.391, 0.828, 0.500)
O (0.503, 0.263, 0.000)
O (0.760, 0.497, 0.000)
O (0.896, 0.839, 0.500)
O (0.942, 0.104, 0.500)
O (0.737, 0.240, 0.000)
O (0.161, 0.058, 0.500)
O (0.437, 0.609, 0.500)
O (0.172, 0.563, 0.500)
Ag (0.666, 0.001, 0.500)
Ag (0.666, 0.697, 0.000)
Ag (0.303, 0.969, 0.000)
Ag (0.999, 0.665, 0.500)
Ag (0.031, 0.334, 0.000)
Ag (0.335, 0.334, 0.500)

---

[8]
Computed, not measured: a geometry-optimized InCu2O structure at the PBE level of DFT.

Values from the calculation:
E above lowest polymorph: 0.0000 eV/atom
Space group: I-42d (122)
Formation energy (no corrections): -176 meV per atom
E: -33.19 eV per cell
DOS(E_F): 0.565 states/eV per atom
V: 17.7 Å³ per atom

Unit cell a=5.053 b=5.053 c=6.601 alpha=67.50 beta=67.50 gamma=90.00
Positions (direct):
Cu (0.375, 0.611, 0.750)
Cu (0.875, 0.639, 0.750)
Cu (0.361, 0.625, 0.250)
Cu (0.389, 0.125, 0.250)
In (0.000, 0.000, 0.000)
In (0.750, 0.250, 0.500)
O (0.250, 0.750, 0.500)
O (0.500, 0.500, 0.000)

---

[9]
Computed, not measured: a geometry-optimized ZrCo2SbH structure at the PBE level of DFT.

Values from the calculation:
Space group: P4/mmm (123)
E: -31.06 eV per cell
DOS(E_F): 0.848 states/eV per atom
V: 13.3 Å³ per atom

Unit cell a=4.070 b=4.070 c=4.003 alpha=90.00 beta=90.00 gamma=90.00
Positions (direct):
Sb (0.500, 0.500, 0.500)
Zr (0.000, 0.000, 0.500)
Co (0.500, 0.000, 0.000)
Co (0.000, 0.500, 0.000)
H (0.000, 0.000, 0.000)

---

[10]
Computed, not measured: a geometry-optimized Tm4Ir3Rh structure at the PBE level of DFT.

Values from the calculation:
Space group: P4/mmm (123)
Formation enthalpy at 0 K: -0.94 eV per atom
E: -118.62 eV per cell
DOS(E_F): 0.477 states/eV per atom
V: 19.3 Å³ per atom

Unit cell a=4.842 b=6.588 c=9.682 alpha=90.00 beta=90.00 gamma=90.00
Positions (direct):
Ir (0.500, 0.000, 0.750)
Ir (0.500, 0.500, 0.250)
Ir (0.500, 0.500, 0.750)
Ir (0.000, 0.000, 0.500)
Ir (0.000, 0.000, 0.000)
Ir (0.500, 0.000, 0.250)
Tm (0.000, 0.249, 0.750)
Tm (0.000, 0.751, 0.750)
Tm (0.500, 0.751, 0.500)
Tm (0.500, 0.249, 0.000)
Tm (0.000, 0.249, 0.250)
Tm (0.500, 0.751, 0.000)
Tm (0.000, 0.751, 0.250)
Tm (0.500, 0.249, 0.500)
Rh (0.000, 0.500, 0.000)
Rh (0.000, 0.500, 0.500)

---

[11]
Computed, not measured: a geometry-optimized PmMgSc2Au4 structure at the PBE level of DFT.

Values from the calculation:
Space group: R-3m (166)
Formation enthalpy at 0 K: -0.75 eV per atom
E: -38.08 eV per cell
DOS(E_F): 0.635 states/eV per atom
V: 20.9 Å³ per atom

Unit cell a=4.774 b=4.774 c=8.924 alpha=74.49 beta=74.49 gamma=60.00
Positions (direct):
Au (0.875, 0.875, 0.376)
Au (0.609, 0.609, 0.174)
Au (0.125, 0.125, 0.624)
Au (0.391, 0.391, 0.826)
Sc (0.759, 0.759, 0.724)
Sc (0.241, 0.241, 0.276)
Pm (0.000, 0.000, 0.000)
Mg (0.500, 0.500, 0.500)

---

[12]
Computed, not measured: a geometry-optimized Pm5PrSm2Th structure at the PBE level of DFT.

Values from the calculation:
Space group: Cmc2_1 (36)
Formation enthalpy at 0 K: 0.16 eV per atom
E: -87.97 eV per cell
DOS(E_F): 1.438 states/eV per atom
V: 34.8 Å³ per atom

Unit cell a=5.758 b=10.654 c=10.601 alpha=90.00 beta=90.00 gamma=105.68
Positions (direct):
Sm (0.116, 0.231, 0.731)
Sm (0.884, 0.769, 0.231)
Sm (0.884, 0.768, 0.821)
Sm (0.116, 0.232, 0.321)
Pm (0.522, 0.044, 0.240)
Pm (0.478, 0.956, 0.740)
Pm (0.984, 0.968, 0.523)
Pm (0.388, 0.776, 0.026)
Pm (0.016, 0.032, 0.023)
Pm (0.295, 0.590, 0.706)
Pm (0.276, 0.552, 0.316)
Pm (0.612, 0.224, 0.526)
Pm (0.724, 0.448, 0.816)
Pm (0.705, 0.410, 0.206)
Th (0.200, 0.400, 0.013)
Th (0.800, 0.600, 0.513)
Pr (0.589, 0.178, 0.948)
Pr (0.411, 0.822, 0.448)

---

[13]
Computed, not measured: a geometry-optimized Na2CdBr structure at the PBE level of DFT.

Values from the calculation:
E above lowest polymorph: 0.0057 eV/atom
Space group: P4/mmm (123)
Formation energy (no corrections): -674 meV per atom
E: -7.92 eV per cell
DOS(E_F): 0.326 states/eV per atom
V: 27.0 Å³ per atom

Unit cell a=3.720 b=3.720 c=7.802 alpha=90.00 beta=90.00 gamma=90.00
Positions (direct):
Na (0.000, 0.000, 0.227)
Na (0.000, 0.000, 0.773)
Br (0.500, 0.500, 0.000)
Cd (0.500, 0.500, 0.500)

---

[14]
Computed, not measured: a geometry-optimized TlPtBr2 structure at the PBE level of DFT.

Values from the calculation:
E above lowest polymorph: 0.2984 eV/atom
Space group: R-3m (166)
Formation energy (no corrections): 97 meV per atom
E: -11.36 eV per cell
DOS(E_F): 0.679 states/eV per atom
V: 31.3 Å³ per atom

Unit cell a=9.737 b=9.737 c=9.737 alpha=23.13 beta=23.13 gamma=23.13
Positions (direct):
Br (0.885, 0.885, 0.885)
Br (0.115, 0.115, 0.115)
Pt (0.500, 0.500, 0.500)
Tl (0.000, 0.000, 0.000)